LiMn2AlO4 after structural relaxation. Source: Alexandria via LeMat-Bulk, functional PBE with a Hubbard U.

Values from the calculation:
The value obtained for the total DFT energy (no corrections) is -6.8562 eV per atom.

Cell: 5.071 2.952 5.191 Å, 90.00 107.66 90.00°
Space group P2/m (No. 10)
Unique sites:
Li (0.000, 0.000, 0.000) x1
Mn (0.000, 0.500, 0.500) x1
Mn (0.500, 0.000, 0.500) x1
Al (0.500, 0.500, 0.000) x1
O (0.276, 0.000, 0.787) x2
O (0.281, 0.500, 0.242) x2